(1)
# PBE Dy3VAg3Se8, relaxed
# - Raw total energy: -4.958 eV per atom
# - Crystal system: monoclinic
# - Uncorrected formation energy: -1.00 eV per atom
data_Dy3VAg3Se8
_chemical_formula_sum 'Dy6 V2 Ag6 Se16'
_space_group_name_H-M_alt 'C 1 2/m 1'
_space_group_IT_number 12
_cell_length_a 14.003
_cell_length_b 8.084
_cell_length_c 8.140
_cell_angle_alpha 90.00
_cell_angle_beta 125.22
_cell_angle_gamma 90.00
loop_
_space_group_symop_operation_xyz
'x,y,z'
'-x,-y,-z'
'-x,y,-z'
'x,-y,z'
'x+1/2,y+1/2,z'
'-x+1/2,-y+1/2,-z'
'-x+1/2,y+1/2,-z'
'x+1/2,-y+1/2,z'
loop_
_atom_site_label
_atom_site_type_symbol
_atom_site_fract_x
_atom_site_fract_y
_atom_site_fract_z
Dy1 Dy 0.000 0.000 0.000
Dy2 Dy 0.250 0.250 0.000
V1 V 0.000 0.500 0.000
Ag1 Ag 0.000 0.500 0.500
Ag2 Ag 0.250 0.250 0.500
Se1 Se 0.000 0.273 0.227
Se2 Se 0.228 0.500 0.227
Se3 Se 0.250 0.000 0.248

---

(2)
# PBE DyYAg2Se4, relaxed
# - Raw total energy: -5.007 eV per atom
# - Crystal system: monoclinic
# - Uncorrected formation energy: -1.17 eV per atom
data_DyYAg2Se4
_chemical_formula_sum 'Dy1 Y1 Ag2 Se4'
_space_group_name_H-M_alt 'P 1 2/m 1'
_space_group_IT_number 10
_cell_length_a 6.895
_cell_length_b 4.177
_cell_length_c 7.229
_cell_angle_alpha 90.00
_cell_angle_beta 110.02
_cell_angle_gamma 90.00
loop_
_space_group_symop_operation_xyz
'x,y,z'
'-x,-y,-z'
'-x,y,-z'
'x,-y,z'
loop_
_atom_site_label
_atom_site_type_symbol
_atom_site_fract_x
_atom_site_fract_y
_atom_site_fract_z
Dy1 Dy 0.000 0.000 0.000
Y1 Y 0.000 0.500 0.500
Ag1 Ag 0.500 0.000 0.500
Ag2 Ag 0.500 0.500 0.000
Se1 Se 0.245 0.500 0.246
Se2 Se 0.246 0.000 0.747

---

(3)
# PBE DyY2Ag3Se6, relaxed
# - Raw total energy: -5.086 eV per atom
# - Crystal system: monoclinic
# - Uncorrected formation energy: -1.17 eV per atom
data_DyY2Ag3Se6
_chemical_formula_sum 'Dy2 Y4 Ag6 Se12'
_space_group_name_H-M_alt 'C 1 2/m 1'
_space_group_IT_number 12
_cell_length_a 17.710
_cell_length_b 4.176
_cell_length_c 8.069
_cell_angle_alpha 90.00
_cell_angle_beta 100.36
_cell_angle_gamma 90.00
loop_
_space_group_symop_operation_xyz
'x,y,z'
'-x,-y,-z'
'-x,y,-z'
'x,-y,z'
'x+1/2,y+1/2,z'
'-x+1/2,-y+1/2,-z'
'-x+1/2,y+1/2,-z'
'x+1/2,-y+1/2,z'
loop_
_atom_site_label
_atom_site_type_symbol
_atom_site_fract_x
_atom_site_fract_y
_atom_site_fract_z
Dy1 Dy 0.000 0.000 0.000
Y1 Y 0.167 0.500 0.333
Ag1 Ag 0.000 0.000 0.500
Ag2 Ag 0.167 0.500 0.832
Se1 Se 0.001 0.500 0.247
Se2 Se 0.165 0.000 0.084
Se3 Se 0.168 0.000 0.581

---

(4)
# PBE Dy3ZrAg3Se8, relaxed
# - Raw total energy: -5.103 eV per atom
# - Crystal system: monoclinic
# - Uncorrected formation energy: -1.18 eV per atom
data_Dy3ZrAg3Se8
_chemical_formula_sum 'Dy6 Zr2 Ag6 Se16'
_space_group_name_H-M_alt 'C 1 2/m 1'
_space_group_IT_number 12
_cell_length_a 14.030
_cell_length_b 8.203
_cell_length_c 8.150
_cell_angle_alpha 90.00
_cell_angle_beta 124.75
_cell_angle_gamma 90.00
loop_
_space_group_symop_operation_xyz
'x,y,z'
'-x,-y,-z'
'-x,y,-z'
'x,-y,z'
'x+1/2,y+1/2,z'
'-x+1/2,-y+1/2,-z'
'-x+1/2,y+1/2,-z'
'x+1/2,-y+1/2,z'
loop_
_atom_site_label
_atom_site_type_symbol
_atom_site_fract_x
_atom_site_fract_y
_atom_site_fract_z
Dy1 Dy 0.000 0.000 0.000
Dy2 Dy 0.250 0.250 0.500
Zr1 Zr 0.000 0.500 0.000
Ag1 Ag 0.000 0.500 0.500
Ag2 Ag 0.250 0.250 0.000
Se1 Se 0.001 0.260 0.237
Se2 Se 0.238 0.500 0.242
Se3 Se 0.249 0.000 0.252

---

(5)
# PBE Dy5Si2Ag, relaxed
# - Raw total energy: -5.105 eV per atom
# - Crystal system: tetragonal
# - Uncorrected formation energy: -0.52 eV per atom
data_Dy5Si2Ag
_chemical_formula_sum 'Dy20 Si8 Ag4'
_space_group_name_H-M_alt 'I 4/m c m'
_space_group_IT_number 140
_space_group_name_Hall '-I 4 2c'
_cell_length_a 7.472
_cell_length_b 7.472
_cell_length_c 14.405
_cell_angle_alpha 90.00
_cell_angle_beta 90.00
_cell_angle_gamma 90.00
loop_
_atom_site_label
_atom_site_type_symbol
_atom_site_fract_x
_atom_site_fract_y
_atom_site_fract_z
Dy1 Dy 0.000 0.000 0.000
Dy2 Dy 0.171 0.329 0.140
Si1 Si 0.122 0.378 0.500
Ag1 Ag 0.000 0.000 0.250

---

(6)
# PBE DySi2Ag4, relaxed
# - Raw total energy: -4.083 eV per atom
# - Crystal system: orthorhombic
# - Uncorrected formation energy: -0.25 eV per atom
data_DySi2Ag4
_chemical_formula_sum 'Dy2 Si4 Ag8'
_space_group_name_H-M_alt 'C m m m'
_space_group_IT_number 65
_space_group_name_Hall '-C 2 2'
_cell_length_a 4.148
_cell_length_b 15.166
_cell_length_c 4.099
_cell_angle_alpha 90.00
_cell_angle_beta 90.00
_cell_angle_gamma 90.00
loop_
_atom_site_label
_atom_site_type_symbol
_atom_site_fract_x
_atom_site_fract_y
_atom_site_fract_z
Dy1 Dy 0.000 0.000 0.000
Si1 Si 0.000 0.425 0.500
Ag1 Ag 0.000 0.177 0.500
Ag2 Ag 0.000 0.321 0.000

---

(7)
# PBE DySi2Ag, relaxed
# - Raw total energy: -5.008 eV per atom
# - Crystal system: orthorhombic
# - Uncorrected formation energy: -0.43 eV per atom
data_DySi2Ag
_chemical_formula_sum 'Dy4 Si8 Ag4'
_space_group_name_H-M_alt 'P n m a'
_space_group_IT_number 62
_cell_length_a 6.704
_cell_length_b 4.188
_cell_length_c 10.830
_cell_angle_alpha 90.00
_cell_angle_beta 90.00
_cell_angle_gamma 90.00
loop_
_space_group_symop_operation_xyz
'x,y,z'
'-x,-y,-z'
'-x+1/2,-y,z+1/2'
'x+1/2,y,-z+1/2'
'x+1/2,-y+1/2,-z+1/2'
'-x+1/2,y+1/2,z+1/2'
'-x,y+1/2,-z'
'x,-y+1/2,z'
loop_
_atom_site_label
_atom_site_type_symbol
_atom_site_fract_x
_atom_site_fract_y
_atom_site_fract_z
Dy1 Dy 0.153 0.250 0.153
Si1 Si 0.021 0.250 0.665
Si2 Si 0.162 0.250 0.862
Ag1 Ag 0.165 0.250 0.448

---

(8)
# PBE DySi2Ag, relaxed
# - Raw total energy: -5.008 eV per atom
# - Crystal system: orthorhombic
# - Uncorrected formation energy: -0.43 eV per atom
data_DySi2Ag
_chemical_formula_sum 'Dy8 Si16 Ag8'
_space_group_name_H-M_alt 'P n m a'
_space_group_IT_number 62
_cell_length_a 13.445
_cell_length_b 4.181
_cell_length_c 10.809
_cell_angle_alpha 90.00
_cell_angle_beta 90.00
_cell_angle_gamma 90.00
loop_
_space_group_symop_operation_xyz
'x,y,z'
'-x,-y,-z'
'-x+1/2,-y,z+1/2'
'x+1/2,y,-z+1/2'
'x+1/2,-y+1/2,-z+1/2'
'-x+1/2,y+1/2,z+1/2'
'-x,y+1/2,-z'
'x,-y+1/2,z'
loop_
_atom_site_label
_atom_site_type_symbol
_atom_site_fract_x
_atom_site_fract_y
_atom_site_fract_z
Dy1 Dy 0.052 0.250 0.239
Dy2 Dy 0.195 0.750 0.958
Si1 Si 0.029 0.250 0.965
Si2 Si 0.109 0.250 0.777
Si3 Si 0.132 0.750 0.443
Si4 Si 0.212 0.750 0.255
Ag1 Ag 0.062 0.250 0.550
Ag2 Ag 0.209 0.750 0.658

---

(9)
# PBE Dy2SiAg, relaxed
# - Raw total energy: -4.871 eV per atom
# - Crystal system: monoclinic
# - Uncorrected formation energy: -0.50 eV per atom
data_Dy2SiAg
_chemical_formula_sum 'Dy4 Si2 Ag2'
_space_group_name_H-M_alt 'P 1 21/m 1'
_space_group_IT_number 11
_cell_length_a 5.960
_cell_length_b 4.327
_cell_length_c 7.832
_cell_angle_alpha 90.00
_cell_angle_beta 110.37
_cell_angle_gamma 90.00
loop_
_space_group_symop_operation_xyz
'x,y,z'
'-x,-y,-z'
'-x,y+1/2,-z'
'x,-y+1/2,z'
loop_
_atom_site_label
_atom_site_type_symbol
_atom_site_fract_x
_atom_site_fract_y
_atom_site_fract_z
Dy1 Dy 0.201 0.250 0.426
Dy2 Dy 0.220 0.250 0.929
Si1 Si 0.335 0.750 0.710
Ag1 Ag 0.350 0.750 0.217

---

(10)
# PBE Dy2SiAg, relaxed
# - Raw total energy: -4.712 eV per atom
# - Crystal system: trigonal
# - Uncorrected formation energy: -0.34 eV per atom
data_Dy2SiAg
_chemical_formula_sum 'Dy6 Si3 Ag3'
_space_group_name_H-M_alt 'R -3 m'
_space_group_IT_number 166
_space_group_name_Hall '-R 3 2"'
_cell_length_a 4.2576
_cell_length_b 4.2576
_cell_length_c 20.1388
_cell_angle_alpha 90.00
_cell_angle_beta 90.00
_cell_angle_gamma 120.00
loop_
_atom_site_label
_atom_site_type_symbol
_atom_site_fract_x
_atom_site_fract_y
_atom_site_fract_z
Dy1 Dy 0.0000 0.0000 0.2404
Si1 Si 0.0000 0.0000 0.5000
Ag1 Ag 0.0000 0.0000 0.0000

---

(11)
# PBE Dy2SiAg, relaxed
# - Raw total energy: -4.806 eV per atom
# - Crystal system: tetragonal
# - Uncorrected formation energy: -0.44 eV per atom
data_Dy2SiAg
_chemical_formula_sum 'Dy2 Si1 Ag1'
_space_group_name_H-M_alt 'P 4/m m m'
_space_group_IT_number 123
_space_group_name_Hall '-P 4 2'
_cell_length_a 4.990
_cell_length_b 4.990
_cell_length_c 3.659
_cell_angle_alpha 90.00
_cell_angle_beta 90.00
_cell_angle_gamma 90.00
loop_
_atom_site_label
_atom_site_type_symbol
_atom_site_fract_x
_atom_site_fract_y
_atom_site_fract_z
Dy1 Dy 0.000 0.500 0.000
Si1 Si 0.000 0.000 0.500
Ag1 Ag 0.500 0.500 0.500

---

(12)
# PBE SmDySiAg, relaxed
# - Raw total energy: -4.833 eV per atom
# - Crystal system: cubic
# - Uncorrected formation energy: -0.43 eV per atom
data_SmDySiAg
_chemical_formula_sum 'Sm4 Dy4 Si4 Ag4'
_space_group_name_H-M_alt 'F -4 3 m'
_space_group_IT_number 216
_space_group_name_Hall 'F -4 2 3'
_cell_length_a 7.215
_cell_length_b 7.215
_cell_length_c 7.215
_cell_angle_alpha 90.00
_cell_angle_beta 90.00
_cell_angle_gamma 90.00
loop_
_atom_site_label
_atom_site_type_symbol
_atom_site_fract_x
_atom_site_fract_y
_atom_site_fract_z
Sm1 Sm 0.000 0.000 0.000
Dy1 Dy 0.000 0.000 0.500
Si1 Si 0.250 0.250 0.250
Ag1 Ag 0.250 0.250 0.750